Record 1
First-principles (PBE-GGA) data for a relaxed structure of Ac3CuSn2, as listed in the Alexandria database.

Output
As for the uncorrected energy: -4.4732 eV per atom. For the density of states at the Fermi level, the calculation gives 8.52 states/eV/cell. The value obtained for the energy above the most stable polymorph in this dataset is 0.93 eV/f.u. Its formation energy is -0.402 eV/atom.

a b c (Å): 6.776 9.056 7.653
angles (deg): 106.57 116.28 90.00
Fractional positions:
Ac 0.316 0.750 0.000
Ac 0.695 0.860 0.639
Ac 0.684 0.250 0.000
Ac 0.056 0.640 0.361
Ac 0.944 0.360 0.639
Ac 0.305 0.140 0.361
Sn 0.790 0.993 0.284
Sn 0.210 0.007 0.716
Sn 0.506 0.507 0.716
Sn 0.494 0.493 0.284
Cu 0.830 0.750 0.000
Cu 0.170 0.250 0.000

***

Record 2
First-principles (PBE-GGA) data for a relaxed structure of Ac6CuSn5, as listed in the Alexandria database.

Output
As for the uncorrected energy: -4.5781 eV per atom. For the density of states at the Fermi level, the calculation gives 9.31 states/eV/cell. Its formation energy is -0.515 eV/atom.

a b c (Å): 5.479 10.404 9.754
angles (deg): 57.77 73.67 58.18
Fractional positions:
Ac 0.269 0.231 0.000
Ac 0.242 0.925 0.668
Ac 0.758 0.075 0.332
Ac 0.758 0.408 0.668
Ac 0.731 0.769 0.000
Ac 0.242 0.592 0.332
Cu 0.000 0.000 0.000
Sn 0.500 0.830 0.341
Sn 0.000 0.656 0.689
Sn 0.000 0.344 0.311
Sn 0.500 0.500 0.000
Sn 0.500 0.170 0.659

***

Record 3
First-principles (PBE-GGA) data for a relaxed structure of Ac2Cu5Sn3, as listed in the Alexandria database.

Output
As for the uncorrected energy: -4.4284 eV per atom. For the density of states at the Fermi level, the calculation gives 9.36 states/eV/cell. Its formation energy is -0.358 eV/atom.

a b c (Å): 6.542 8.856 8.856
angles (deg): 73.26 68.32 68.32
Fractional positions:
Cu 0.978 0.772 0.772
Cu 0.375 0.260 0.989
Cu 0.875 0.989 0.260
Cu 0.250 0.500 0.500
Cu 0.522 0.228 0.228
Cu 0.625 0.740 0.011
Cu 0.022 0.228 0.228
Cu 0.750 0.500 0.500
Cu 0.125 0.011 0.740
Cu 0.478 0.772 0.772
Ac 0.377 0.857 0.389
Ac 0.123 0.611 0.143
Ac 0.623 0.143 0.611
Ac 0.877 0.389 0.857
Sn 0.364 0.518 0.754
Sn 0.136 0.246 0.482
Sn 0.864 0.754 0.518
Sn 0.636 0.482 0.246
Sn 0.750 0.000 0.000
Sn 0.250 0.000 0.000

***

Record 4
First-principles (PBE-GGA) data for a relaxed structure of AcCuSn3, as listed in the Alexandria database.

Output
As for the uncorrected energy: -4.3646 eV per atom. For the density of states at the Fermi level, the calculation gives 3.72 states/eV/cell. The value obtained for the energy above the most stable polymorph in this dataset is 0.45 eV/f.u. Its formation energy is -0.322 eV/atom.

a b c (Å): 5.261 5.063 10.809
angles (deg): 103.54 104.10 90.00
Fractional positions:
Sn 0.958 0.209 0.419
Sn 0.453 0.702 0.404
Sn 0.284 0.034 0.068
Sn 0.042 0.791 0.581
Sn 0.716 0.966 0.932
Sn 0.547 0.298 0.596
Cu 0.408 0.160 0.321
Cu 0.592 0.840 0.679
Ac 0.840 0.589 0.178
Ac 0.160 0.411 0.822

***

Record 5
First-principles (PBE-GGA) data for a relaxed structure of Ac2CuSn, as listed in the Alexandria database.

Output
As for the uncorrected energy: -4.4251 eV per atom. For the density of states at the Fermi level, the calculation gives 4.31 states/eV/cell. The value obtained for the energy above the most stable polymorph in this dataset is 0.00 eV/f.u. Its formation energy is -0.346 eV/atom.

a b c (Å): 5.631 5.631 5.631
angles (deg): 60.00 60.00 60.00
Fractional positions:
Ac 0.250 0.250 0.250
Ac 0.750 0.750 0.750
Sn 0.000 0.000 0.000
Cu 0.500 0.500 0.500

***

Record 6
First-principles (PBE-GGA) data for a relaxed structure of SrAc2Cu3Sn4, as listed in the Alexandria database.

Output
As for the uncorrected energy: -4.1976 eV per atom. For the density of states at the Fermi level, the calculation gives 5.57 states/eV/cell. Its formation energy is -0.378 eV/atom.

a b c (Å): 4.626 4.626 12.477
angles (deg): 90.00 90.00 90.00
Fractional positions:
Sn 0.000 0.500 0.329
Sn 0.000 0.000 0.000
Sn 0.500 0.500 0.000
Sn 0.500 0.000 0.671
Cu 0.000 0.500 0.119
Cu 0.000 0.000 0.500
Cu 0.500 0.000 0.881
Ac 0.500 0.000 0.223
Ac 0.000 0.500 0.777
Sr 0.500 0.500 0.500

***

Record 7
First-principles (PBE-GGA) data for a relaxed structure of Ac2TbCu3Sn4, as listed in the Alexandria database.

Output
As for the uncorrected energy: -4.5837 eV per atom. For the density of states at the Fermi level, the calculation gives 2.79 states/eV/cell. Its formation energy is -0.469 eV/atom.

a b c (Å): 4.647 4.647 11.816
angles (deg): 90.00 90.00 90.00
Fractional positions:
Tb 0.500 0.500 0.500
Cu 0.500 0.000 0.879
Cu 0.000 0.000 0.500
Cu 0.000 0.500 0.121
Sn 0.500 0.000 0.657
Sn 0.000 0.000 0.000
Sn 0.000 0.500 0.343
Sn 0.500 0.500 0.000
Ac 0.500 0.000 0.231
Ac 0.000 0.500 0.769

***

Record 8
First-principles (PBE-GGA) data for a relaxed structure of AcTh2Cu2Sn2, as listed in the Alexandria database.

Output
As for the uncorrected energy: -5.2743 eV per atom. For the density of states at the Fermi level, the calculation gives 6.14 states/eV/cell. Its formation energy is -0.253 eV/atom.

a b c (Å): 4.450 4.450 11.575
angles (deg): 78.92 78.92 60.00
Fractional positions:
Sn 0.734 0.734 0.797
Sn 0.266 0.266 0.203
Cu 0.413 0.413 0.760
Cu 0.587 0.587 0.240
Th 0.871 0.871 0.386
Th 0.129 0.129 0.614
Ac 0.000 0.000 0.000

***

Record 9
First-principles (PBE-GGA) data for a relaxed structure of Ac2TlCu4Sn3, as listed in the Alexandria database.

Output
As for the uncorrected energy: -4.2791 eV per atom. For the density of states at the Fermi level, the calculation gives 4.53 states/eV/cell. Its formation energy is -0.381 eV/atom.

a b c (Å): 4.611 4.611 10.893
angles (deg): 90.00 90.00 90.00
Fractional positions:
Ac 0.500 0.000 0.236
Ac 0.000 0.500 0.764
Cu 0.000 0.500 0.361
Cu 0.500 0.500 0.000
Cu 0.000 0.000 0.000
Cu 0.500 0.000 0.639
Tl 0.500 0.500 0.500
Sn 0.000 0.000 0.500
Sn 0.500 0.000 0.877
Sn 0.000 0.500 0.123

***

Record 10
First-principles (PBE-GGA) data for a relaxed structure of Ac2TmCu3Sn4, as listed in the Alexandria database.

Output
As for the uncorrected energy: -4.5732 eV per atom. For the density of states at the Fermi level, the calculation gives 2.35 states/eV/cell. Its formation energy is -0.474 eV/atom.

a b c (Å): 4.635 4.635 11.720
angles (deg): 90.00 90.00 90.00
Fractional positions:
Cu 0.000 0.500 0.122
Cu 0.000 0.000 0.500
Cu 0.500 0.000 0.878
Ac 0.500 0.000 0.233
Ac 0.000 0.500 0.767
Sn 0.500 0.000 0.654
Sn 0.000 0.000 0.000
Sn 0.000 0.500 0.346
Sn 0.500 0.500 0.000
Tm 0.500 0.500 0.500

***

Record 11
First-principles (PBE-GGA) data for a relaxed structure of AcTmCuSn, as listed in the Alexandria database.

Output
As for the uncorrected energy: -4.4876 eV per atom. For the density of states at the Fermi level, the calculation gives 3.52 states/eV/cell. Its formation energy is -0.318 eV/atom.

a b c (Å): 5.380 5.380 5.380
angles (deg): 60.00 60.00 60.00
Fractional positions:
Sn 0.500 0.500 0.500
Tm 0.250 0.250 0.250
Ac 0.750 0.750 0.750
Cu 0.000 0.000 0.000

***

Record 12
First-principles (PBE-GGA) data for a relaxed structure of AcZnCuSn2, as listed in the Alexandria database.

Output
As for the uncorrected energy: -3.8787 eV per atom. For the density of states at the Fermi level, the calculation gives 1.33 states/eV/cell. Its formation energy is -0.382 eV/atom.

a b c (Å): 4.669 4.669 6.459
angles (deg): 111.19 111.19 90.00
Fractional positions:
Sn 0.630 0.630 0.260
Sn 0.370 0.370 0.740
Zn 0.750 0.250 0.500
Ac 0.000 0.000 0.000
Cu 0.250 0.750 0.500

***

Record 13
First-principles (PBE-GGA) data for a relaxed structure of Ac2ZnCu4Sn3, as listed in the Alexandria database.

Output
As for the uncorrected energy: -4.1918 eV per atom. For the density of states at the Fermi level, the calculation gives 5.42 states/eV/cell. Its formation energy is -0.403 eV/atom.

a b c (Å): 4.562 4.562 10.620
angles (deg): 90.00 90.00 90.00
Fractional positions:
Cu 0.000 0.500 0.375
Cu 0.000 0.000 0.000
Cu 0.500 0.000 0.625
Cu 0.500 0.500 0.000
Ac 0.000 0.500 0.756
Ac 0.500 0.000 0.244
Sn 0.000 0.500 0.129
Sn 0.500 0.000 0.871
Sn 0.000 0.000 0.500
Zn 0.500 0.500 0.500

***

Record 14
First-principles (PBE-GGA) data for a relaxed structure of AcZnCuSn, as listed in the Alexandria database.

Output
As for the uncorrected energy: -3.6301 eV per atom. For the density of states at the Fermi level, the calculation gives 2.63 states/eV/cell. Its formation energy is -0.260 eV/atom.

a b c (Å): 5.092 5.092 5.092
angles (deg): 60.00 60.00 60.00
Fractional positions:
Zn 0.500 0.500 0.500
Ac 0.750 0.750 0.750
Cu 0.000 0.000 0.000
Sn 0.250 0.250 0.250

***

Record 15
First-principles (PBE-GGA) data for a relaxed structure of Sr3AcCu, as listed in the Alexandria database.

Output
As for the uncorrected energy: -2.5274 eV per atom. For the density of states at the Fermi level, the calculation gives 6.39 states/eV/cell. Its formation energy is 0.123 eV/atom.

a b c (Å): 6.063 6.063 6.063
angles (deg): 90.00 90.00 90.00
Fractional positions:
Cu 0.000 0.000 0.000
Ac 0.500 0.500 0.500
Sr 0.000 0.500 0.000
Sr 0.500 0.000 0.000
Sr 0.000 0.000 0.500

***

Record 16
First-principles (PBE-GGA) data for a relaxed structure of SrAcCu2, as listed in the Alexandria database.

Output
As for the uncorrected energy: -3.5921 eV per atom. For the density of states at the Fermi level, the calculation gives 2.92 states/eV/cell. The value obtained for the energy above the most stable polymorph in this dataset is 0.00 eV/f.u. Its formation energy is -0.096 eV/atom.

a b c (Å): 4.282 4.487 6.318
angles (deg): 90.00 109.81 90.00
Fractional positions:
Sr 0.722 0.000 0.984
Cu 0.022 0.000 0.584
Cu 0.139 0.500 0.818
Ac 0.447 0.500 0.433

***

Record 17
First-principles (PBE-GGA) data for a relaxed structure of SrAc2Cu6, as listed in the Alexandria database.

Output
As for the uncorrected energy: -3.9943 eV per atom. For the density of states at the Fermi level, the calculation gives 3.82 states/eV/cell. Its formation energy is -0.164 eV/atom.

a b c (Å): 4.131 7.556 7.557
angles (deg): 120.00 90.01 90.00
Fractional positions:
Cu 0.500 0.334 0.000
Cu 0.500 0.000 0.334
Cu 0.500 0.666 0.000
Cu 0.500 0.000 0.666
Cu 0.500 0.666 0.666
Cu 0.500 0.334 0.334
Sr 0.000 0.000 0.000
Ac 0.000 0.667 0.333
Ac 0.000 0.333 0.667

***

Record 18
First-principles (PBE-GGA) data for a relaxed structure of SrAcCu4, as listed in the Alexandria database.

Output
As for the uncorrected energy: -3.6440 eV per atom. For the density of states at the Fermi level, the calculation gives 4.37 states/eV/cell. The value obtained for the energy above the most stable polymorph in this dataset is 1.15 eV/f.u. Its formation energy is 0.052 eV/atom.

a b c (Å): 5.565 5.565 5.565
angles (deg): 60.00 60.00 60.00
Fractional positions:
Sr 0.000 0.000 0.000
Cu 0.628 0.116 0.628
Cu 0.628 0.628 0.628
Cu 0.628 0.628 0.116
Cu 0.116 0.628 0.628
Ac 0.250 0.250 0.250

***

Record 19
First-principles (PBE-GGA) data for a relaxed structure of Sr2AcCu6, as listed in the Alexandria database.

Output
As for the uncorrected energy: -3.6735 eV per atom. For the density of states at the Fermi level, the calculation gives 5.78 states/eV/cell. Its formation energy is -0.112 eV/atom.

a b c (Å): 4.113 7.554 7.553
angles (deg): 120.00 90.00 90.00
Fractional positions:
Cu 0.500 0.667 0.667
Cu 0.500 0.333 0.333
Cu 0.500 0.333 0.000
Cu 0.500 0.667 0.000
Cu 0.500 0.000 0.667
Cu 0.500 0.000 0.333
Ac 0.000 0.000 0.000
Sr 0.000 0.667 0.333
Sr 0.000 0.333 0.667

***

Record 20
First-principles (PBE-GGA) data for a relaxed structure of SrAc2Cu9, as listed in the Alexandria database.

Output
As for the uncorrected energy: -3.9282 eV per atom. For the density of states at the Fermi level, the calculation gives 5.98 states/eV/cell. Its formation energy is -0.031 eV/atom.

a b c (Å): 5.411 5.411 9.199
angles (deg): 72.89 72.89 60.00
Fractional positions:
Cu 0.086 0.574 0.765
Cu 0.426 0.426 0.235
Cu 0.426 0.914 0.235
Cu 0.332 0.332 0.005
Cu 0.574 0.574 0.765
Cu 0.574 0.086 0.765
Cu 0.668 0.668 0.995
Cu 0.914 0.426 0.235
Cu 0.500 0.500 0.500
Ac 0.140 0.140 0.581
Ac 0.860 0.860 0.419
Sr 0.000 0.000 0.000

***

Record 21
First-principles (PBE-GGA) data for a relaxed structure of SrAcCu3, as listed in the Alexandria database.

Output
As for the uncorrected energy: -3.7680 eV per atom. For the density of states at the Fermi level, the calculation gives 4.09 states/eV/cell. Its formation energy is -0.152 eV/atom.

a b c (Å): 4.195 4.402 13.809
angles (deg): 90.00 98.74 90.00
Fractional positions:
Cu 0.339 0.750 0.679
Cu 0.386 0.250 0.771
Cu 0.523 0.750 0.046
Cu 0.614 0.750 0.229
Cu 0.661 0.250 0.321
Cu 0.477 0.250 0.954
Sr 0.800 0.250 0.600
Sr 0.200 0.750 0.400
Ac 0.932 0.750 0.863
Ac 0.068 0.250 0.137

***

Record 22
First-principles (PBE-GGA) data for a relaxed structure of SrAcCu2, as listed in the Alexandria database.

Output
As for the uncorrected energy: -3.5412 eV per atom. For the density of states at the Fermi level, the calculation gives 2.67 states/eV/cell. The value obtained for the energy above the most stable polymorph in this dataset is 0.20 eV/f.u. Its formation energy is -0.046 eV/atom.

a b c (Å): 3.800 3.800 7.610
angles (deg): 90.00 90.00 90.00
Fractional positions:
Cu 0.000 0.000 0.774
Cu 0.000 0.000 0.226
Ac 0.500 0.500 0.000
Sr 0.500 0.500 0.500

***

Record 23
First-principles (PBE-GGA) data for a relaxed structure of SrAcCu2, as listed in the Alexandria database.

Output
As for the uncorrected energy: -3.5299 eV per atom. For the density of states at the Fermi level, the calculation gives 3.03 states/eV/cell. The value obtained for the energy above the most stable polymorph in this dataset is 0.25 eV/f.u. Its formation energy is -0.034 eV/atom.

a b c (Å): 5.345 5.345 5.345
angles (deg): 60.00 60.00 60.00
Fractional positions:
Sr 0.500 0.500 0.500
Cu 0.750 0.750 0.750
Cu 0.250 0.250 0.250
Ac 0.000 0.000 0.000

***

Record 24
First-principles (PBE-GGA) data for a relaxed structure of SrAcCu4, as listed in the Alexandria database.

Output
As for the uncorrected energy: -3.8351 eV per atom. For the density of states at the Fermi level, the calculation gives 3.64 states/eV/cell. The value obtained for the energy above the most stable polymorph in this dataset is 0.00 eV/f.u. Its formation energy is -0.139 eV/atom.

a b c (Å): 4.308 6.035 6.035
angles (deg): 87.82 69.09 69.09
Fractional positions:
Cu 0.666 0.089 0.079
Cu 0.666 0.579 0.589
Cu 0.334 0.911 0.921
Cu 0.334 0.421 0.411
Ac 0.000 0.500 0.000
Sr 0.000 0.000 0.500